one:
Compound: Nd4Au2N
Source: Alexandria via LeMat-Bulk
Functional: GGA-PBE
Structure: relaxed

Cell lengths 7.318, 13.164, 3.859 Å; angles 90.00, 90.00, 90.00 degrees
Positions (direct):
Nd  0.104  0.184  0.000
Nd  0.226  0.960  0.500
Nd  0.274  0.460  0.500
Nd  0.396  0.684  0.000
Nd  0.604  0.316  0.000
Nd  0.726  0.540  0.500
Nd  0.774  0.040  0.500
Nd  0.896  0.816  0.000
Au  0.076  0.668  0.500
Au  0.424  0.168  0.500
Au  0.576  0.832  0.500
Au  0.924  0.332  0.500
N  0.000  0.000  0.000
N  0.500  0.500  0.000

Density of states at the Fermi level   1.074 states/eV/atom



two:
Compound: Nd4Au2N
Source: Alexandria via LeMat-Bulk
Functional: GGA-PBE
Structure: relaxed

Cell lengths 8.225, 8.225, 8.225 Å; angles 144.82, 144.82, 50.61 degrees
Positions (direct):
Nd  0.000  0.500  0.500
Nd  0.175  0.175  0.000
Nd  0.500  0.000  0.500
Nd  0.825  0.825  0.000
Au  0.372  0.372  0.000
Au  0.628  0.628  0.000
N  0.000  0.000  0.000

Density of states at the Fermi level   1.101 states/eV/atom



The structure with the least stability is one.



one:
Compound: NiTeAuN2
Source: Alexandria via LeMat-Bulk
Functional: GGA-PBE
Structure: relaxed

Cell lengths 3.792, 3.792, 7.798 Å; angles 90.00, 90.00, 90.00 degrees
Positions (direct):
Ni  0.000  0.000  0.000
Te  0.500  0.500  0.000
Au  0.500  0.500  0.500
N  0.000  0.500  0.500
N  0.500  0.000  0.500

Density of states at the Fermi level   1.420 states/eV/atom



two:
Compound: NiTeAuN2
Source: Alexandria via LeMat-Bulk
Functional: GGA-PBE
Structure: relaxed

Cell lengths 3.828, 3.828, 5.688 Å; angles 90.00, 90.00, 90.00 degrees
Positions (direct):
Ni  0.000  0.000  0.000
Te  0.000  0.000  0.500
Au  0.500  0.500  0.500
N  0.000  0.500  0.000
N  0.500  0.000  0.000

Density of states at the Fermi level   0.323 states/eV/atom



The structure with the least stability is one.



one:
Compound: Au2NO
Source: Alexandria via LeMat-Bulk
Functional: GGA-PBE
Structure: relaxed

Cell lengths 5.312, 5.312, 5.312 Å; angles 114.45, 114.45, 99.91 degrees
Positions (direct):
Au  0.106  0.125  0.481
Au  0.375  0.894  0.019
Au  0.644  0.625  0.519
Au  0.875  0.356  0.981
N  0.000  0.000  0.000
N  0.750  0.250  0.500
O  0.250  0.750  0.500
O  0.500  0.500  0.000

Density of states at the Fermi level   0.312 states/eV/atom



two:
Compound: Au2NO
Source: Alexandria via LeMat-Bulk
Functional: GGA-PBE
Structure: relaxed

Cell lengths 4.142, 4.142, 4.142 Å; angles 60.00, 60.00, 60.00 degrees
Positions (direct):
Au  0.250  0.250  0.250
Au  0.750  0.750  0.750
N  0.000  0.000  0.000
O  0.500  0.500  0.500

Density of states at the Fermi level   0.447 states/eV/atom



The structure with the least stability is two.